1.
## TiBCl (GGA-PBE)

Data for a relaxed TiBCl crystal.

## Properties
As for the symmetry: Immm. The raw formation energy is -1.14 eV/f.u.

Geometry as CIF:
```
data_TiBCl
_space_group_name_H-M_alt 'P 1'
_space_group_IT_number 1
_space_group_name_Hall 'P 1'
_cell_length_a 6.5299
_cell_length_b 6.5299
_cell_length_c 6.5299
_cell_angle_alpha 151.75
_cell_angle_beta 135.51
_cell_angle_gamma 53.54
loop_
_atom_site_label
_atom_site_type_symbol
_atom_site_fract_x
_atom_site_fract_y
_atom_site_fract_z
Ti1 Ti 0.1214 0.1214 0.0000
Ti2 Ti 0.8786 0.8786 0.0000
B1 B 0.1646 0.5000 0.6646
B2 B 0.8354 0.5000 0.3354
Cl1 Cl 0.2952 0.7952 0.5000
Cl2 Cl 0.7048 0.2048 0.5000
```


2.
## La2Pm2Al3 (GGA-PBE)

Data for a relaxed La2Pm2Al3 crystal.

## Properties
As for the symmetry: Cmmm. The uncorrected energy comes out at -4.64 eV per atom.

Geometry as CIF:
```
data_La2Pm2Al3
_space_group_name_H-M_alt 'P 1'
_space_group_IT_number 1
_space_group_name_Hall 'P 1'
_cell_length_a 15.8708
_cell_length_b 15.8708
_cell_length_c 3.5371
_cell_angle_alpha 90.00
_cell_angle_beta 90.00
_cell_angle_gamma 167.13
loop_
_atom_site_label
_atom_site_type_symbol
_atom_site_fract_x
_atom_site_fract_y
_atom_site_fract_z
La1 La 0.1916 0.8084 0.0000
La2 La 0.8084 0.1916 0.0000
Pm1 Pm 0.0634 0.9366 0.0000
Pm2 Pm 0.9366 0.0634 0.0000
Al1 Al 0.3716 0.6284 0.5000
Al2 Al 0.5000 0.5000 0.5000
Al3 Al 0.6284 0.3716 0.5000
```


3.
## LaTlNi3 (GGA-PBE)

Data for a relaxed LaTlNi3 crystal.

## Properties
Its energy above the most stable polymorph in this dataset is 0.000 eV per atom. As for the symmetry: Pm-3m.

Geometry as CIF:
```
data_LaTlNi3
_space_group_name_H-M_alt 'P 1'
_space_group_IT_number 1
_space_group_name_Hall 'P 1'
_cell_length_a 4.7942
_cell_length_b 4.7942
_cell_length_c 4.7942
_cell_angle_alpha 90.00
_cell_angle_beta 90.00
_cell_angle_gamma 90.00
loop_
_atom_site_label
_atom_site_type_symbol
_atom_site_fract_x
_atom_site_fract_y
_atom_site_fract_z
La1 La 0.0000 0.0000 0.0000
Tl1 Tl 0.5000 0.5000 0.5000
Ni1 Ni 0.0000 0.5000 0.5000
Ni2 Ni 0.5000 0.0000 0.5000
Ni3 Ni 0.5000 0.5000 0.0000
```


4.
## Y3Mo (GGA-PBE)

Data for a relaxed Y3Mo crystal.

## Properties
Its energy above the most stable polymorph in this dataset is 0.134 eV per atom. As for the symmetry: Pmmn.

Geometry as CIF:
```
data_Y3Mo
_space_group_name_H-M_alt 'P 1'
_space_group_IT_number 1
_space_group_name_Hall 'P 1'
_cell_length_a 5.1902
_cell_length_b 6.7696
_cell_length_c 5.9422
_cell_angle_alpha 90.00
_cell_angle_beta 90.00
_cell_angle_gamma 90.00
loop_
_atom_site_label
_atom_site_type_symbol
_atom_site_fract_x
_atom_site_fract_y
_atom_site_fract_z
Y1 Y 0.2500 0.0047 0.1722
Y2 Y 0.2500 0.2500 0.6404
Y3 Y 0.2500 0.4953 0.1722
Y4 Y 0.7500 0.5047 0.8278
Y5 Y 0.7500 0.7500 0.3596
Y6 Y 0.7500 0.9953 0.8278
Mo1 Mo 0.2500 0.7500 0.6955
Mo2 Mo 0.7500 0.2500 0.3045
```


5.
## Pa2Si3PdRh4 (GGA-PBE)

Data for a relaxed Pa2Si3PdRh4 crystal.

## Properties
As for the symmetry: P-4m2. The raw formation energy is -8.74 eV/f.u.

Geometry as CIF:
```
data_Pa2Si3PdRh4
_space_group_name_H-M_alt 'P 1'
_space_group_IT_number 1
_space_group_name_Hall 'P 1'
_cell_length_a 3.9320
_cell_length_b 3.9320
_cell_length_c 11.0446
_cell_angle_alpha 90.00
_cell_angle_beta 90.00
_cell_angle_gamma 90.00
loop_
_atom_site_label
_atom_site_type_symbol
_atom_site_fract_x
_atom_site_fract_y
_atom_site_fract_z
Pa1 Pa 0.0000 0.5000 0.2474
Pa2 Pa 0.5000 0.0000 0.7526
Si1 Si 0.0000 0.0000 0.0000
Si2 Si 0.0000 0.5000 0.6198
Si3 Si 0.5000 0.0000 0.3802
Pd1 Pd 0.5000 0.5000 0.0000
Rh1 Rh 0.0000 0.0000 0.5000
Rh2 Rh 0.0000 0.5000 0.8320
Rh3 Rh 0.5000 0.0000 0.1680
Rh4 Rh 0.5000 0.5000 0.5000
```


6.
## NaLaGa2Bi (GGA-PBE)

Data for a relaxed NaLaGa2Bi crystal.

## Properties
As for the symmetry: P4/mmm. The uncorrected energy comes out at -2.89 eV per atom.

Geometry as CIF:
```
data_NaLaGa2Bi
_space_group_name_H-M_alt 'P 1'
_space_group_IT_number 1
_space_group_name_Hall 'P 1'
_cell_length_a 5.6155
_cell_length_b 5.6155
_cell_length_c 5.4516
_cell_angle_alpha 90.00
_cell_angle_beta 90.00
_cell_angle_gamma 90.00
loop_
_atom_site_label
_atom_site_type_symbol
_atom_site_fract_x
_atom_site_fract_y
_atom_site_fract_z
Na1 Na 0.0000 0.0000 0.0000
La1 La 0.5000 0.5000 0.0000
Ga1 Ga 0.0000 0.5000 0.5000
Ga2 Ga 0.5000 0.0000 0.5000
Bi1 Bi 0.0000 0.0000 0.5000
```


7.
## Y4Cu2Hg5 (GGA-PBE)

Data for a relaxed Y4Cu2Hg5 crystal.

## Properties
As for the symmetry: P2/m. The uncorrected energy comes out at -3.61 eV per atom.

Geometry as CIF:
```
data_Y4Cu2Hg5
_space_group_name_H-M_alt 'P 1'
_space_group_IT_number 1
_space_group_name_Hall 'P 1'
_cell_length_a 7.5124
_cell_length_b 3.7249
_cell_length_c 9.3747
_cell_angle_alpha 90.00
_cell_angle_beta 92.15
_cell_angle_gamma 90.00
loop_
_atom_site_label
_atom_site_type_symbol
_atom_site_fract_x
_atom_site_fract_y
_atom_site_fract_z
Y1 Y 0.1846 0.0000 0.3534
Y2 Y 0.2351 0.0000 0.9274
Y3 Y 0.7649 0.0000 0.0726
Y4 Y 0.8154 0.0000 0.6466
Cu1 Cu 0.0628 0.5000 0.1250
Cu2 Cu 0.9372 0.5000 0.8750
Hg1 Hg 0.1588 0.5000 0.6428
Hg2 Hg 0.4360 0.5000 0.1664
Hg3 Hg 0.5000 0.5000 0.5000
Hg4 Hg 0.5640 0.5000 0.8336
Hg5 Hg 0.8412 0.5000 0.3572
```


8.
## SrLaMgV2 (GGA-PBE)

Data for a relaxed SrLaMgV2 crystal.

## Properties
As for the symmetry: P4/mmm. The uncorrected energy comes out at -3.90 eV per atom.

Geometry as CIF:
```
data_SrLaMgV2
_space_group_name_H-M_alt 'P 1'
_space_group_IT_number 1
_space_group_name_Hall 'P 1'
_cell_length_a 5.0539
_cell_length_b 5.0539
_cell_length_c 5.6343
_cell_angle_alpha 90.00
_cell_angle_beta 90.00
_cell_angle_gamma 90.00
loop_
_atom_site_label
_atom_site_type_symbol
_atom_site_fract_x
_atom_site_fract_y
_atom_site_fract_z
Sr1 Sr 0.0000 0.0000 0.0000
La1 La 0.5000 0.5000 0.0000
Mg1 Mg 0.5000 0.5000 0.5000
V1 V 0.0000 0.5000 0.5000
V2 V 0.5000 0.0000 0.5000
```


Which formula does entry 3 have? LaTlNi3